! LiFeI2F (PBE+U, relaxed); values from VASP
&SYSTEM
  ibrav = 0, nat = 5, ntyp = 4
/
ATOMIC_SPECIES
I 126.90 I.upf
Li 6.94 Li.upf
Fe 55.84 Fe.upf
F 19.00 F.upf
ATOMIC_POSITIONS angstrom
I -0.3816 -0.5297 2.8086
I -2.8360 0.4221 -0.3057
Li -2.9714 1.8362 2.9030
Fe 0.0000 0.0000 0.0000
F 0.2462 1.9438 0.4000
CELL_PARAMETERS angstrom
-5.6721 0.8441 -0.6114
-0.7631 -1.0594 5.6173
0.4923 3.8876 0.8001
! - SG: No. 123
! - Uncorrected energy: -0.1348 Ha/atom
! - Size of the total moment: 4.00 μB per cell